# Tb12As3N5

A geometry-optimized Tb12As3N5 structure (PBE, Alexandria via LeMat-Bulk).

Values from the calculation:
magnetic moment = 0.0 μB/f.u.
SG = No. 230
E_tot = -6.66 eV/atom
density of states at the Fermi level = 60.96 states/eV/cell

Cell and atoms, written as POSCAR:
```
Tb12As3N5
1.0
-7.6505 7.6505 7.6505
7.6505 -7.6505 7.6505
7.6505 7.6505 -7.6505
Tb As N
48 12 20
direct
0.0189 0.2027 0.1151
0.0189 0.3162 0.9038
0.0876 0.7027 0.6838
0.0876 0.8849 0.4038
0.0962 0.6151 0.4124
0.0962 0.9811 0.6838
0.1151 0.0189 0.2027
0.1151 0.5962 0.9124
0.1838 0.2027 0.5876
0.1838 0.4811 0.5962
0.2027 0.1151 0.0189
0.2027 0.5876 0.1838
0.2973 0.3162 0.9124
0.2973 0.4811 0.3849
0.3162 0.9038 0.0189
0.3162 0.9124 0.2973
0.3849 0.2973 0.4811
0.3849 0.5876 0.9038
0.4038 0.0876 0.8849
0.4038 0.8162 0.5189
0.4124 0.0962 0.6151
0.4124 0.8162 0.7973
0.4811 0.3849 0.2973
0.4811 0.5962 0.1838
0.5189 0.4038 0.8162
0.5189 0.6151 0.7027
0.5876 0.1838 0.2027
0.5876 0.9038 0.3849
0.5962 0.1838 0.4811
0.5962 0.9124 0.1151
0.6151 0.4124 0.0962
0.6151 0.7027 0.5189
0.6838 0.0876 0.7027
0.6838 0.0962 0.9811
0.7027 0.5189 0.6151
0.7027 0.6838 0.0876
0.7973 0.4124 0.8162
0.7973 0.8849 0.9811
0.8162 0.5189 0.4038
0.8162 0.7973 0.4124
0.8849 0.4038 0.0876
0.8849 0.9811 0.7973
0.9038 0.0189 0.3162
0.9038 0.3849 0.5876
0.9124 0.1151 0.5962
0.9124 0.2973 0.3162
0.9811 0.6838 0.0962
0.9811 0.7973 0.8849
0.1250 0.2500 0.3750
0.1250 0.3750 0.7500
0.2500 0.3750 0.1250
0.2500 0.8750 0.6250
0.3750 0.1250 0.2500
0.3750 0.7500 0.1250
0.6250 0.2500 0.8750
0.6250 0.8750 0.7500
0.7500 0.1250 0.3750
0.7500 0.6250 0.8750
0.8750 0.6250 0.2500
0.8750 0.7500 0.6250
0.0000 0.0000 0.0000
0.0000 0.0000 0.5000
0.0000 0.5000 0.0000
0.0000 0.5000 0.5000
0.1250 0.7500 0.8750
0.1250 0.8750 0.2500
0.2500 0.1250 0.8750
0.2500 0.6250 0.3750
0.3750 0.2500 0.6250
0.3750 0.6250 0.7500
0.5000 0.0000 0.0000
0.5000 0.0000 0.5000
0.5000 0.5000 0.0000
0.5000 0.5000 0.5000
0.6250 0.3750 0.2500
0.6250 0.7500 0.3750
0.7500 0.3750 0.6250
0.7500 0.8750 0.1250
0.8750 0.1250 0.7500
0.8750 0.2500 0.1250
```